1.
Here is a relaxed structure of Hf3Nb from the Alexandria database. Energies are from GGA-PBE.

Cell lengths 3.0463, 5.0470, 5.5400 Å; angles 90.00, 90.00, 90.00 degrees
Positions (direct):
1 Nb 0.0000 0.0000 0.0304
2 Hf 0.5000 0.0000 0.5128
3 Hf 0.5000 0.5000 0.8147
4 Hf 0.0000 0.5000 0.3086

- SG: Pmm2
- VASP energy: -39.53 eV/cell
- Total magnetic moment: 0.00 μB/f.u.
- Energy of formation: 0.10 eV/atom

---

2.
Here is a relaxed structure of HfNb4 from the Alexandria database. Energies are from GGA-PBE.

Cell lengths 4.8603, 4.8603, 4.8603 Å; angles 90.00, 90.00, 90.00 degrees
Positions (direct):
1 Nb 0.5000 0.0000 0.5000
2 Nb 0.0000 0.0000 0.0000
3 Nb 0.5000 0.5000 0.0000
4 Nb 0.0000 0.5000 0.5000
5 Hf 0.5000 0.5000 0.5000

- SG: Pm-3m
- VASP energy: -41.69 eV/cell
- Total magnetic moment: 0.00 μB/f.u.
- Energy above the lowest structure with this stoichiometry: 1178 meV/atom
- Energy of formation: 1.71 eV/atom

---

3.
Here is a relaxed structure of HfNb from the Alexandria database. Energies are from GGA-PBE.

Cell lengths 15.1332, 3.0711, 5.2282 Å; angles 90.00, 90.00, 90.00 degrees
Positions (direct):
1 Nb 0.8398 0.4981 0.6630
2 Hf 0.5000 0.2447 0.4167
3 Hf 0.8283 0.0106 0.1694
4 Nb 0.6602 0.5019 0.1630
5 Nb 0.5000 0.7400 0.9204
6 Nb 0.3398 0.5019 0.1630
7 Nb 0.1602 0.4981 0.6630
8 Hf 0.3283 0.9894 0.6694
9 Hf 0.6717 0.9894 0.6694
10 Nb 0.0000 0.2600 0.4204
11 Hf 0.0000 0.7553 0.9167
12 Hf 0.1717 0.0106 0.1694

- SG: Pmn2_1
- VASP energy: -118.84 eV/cell
- Total magnetic moment: 0.00 μB/f.u.
- Energy of formation: 0.11 eV/atom

---

4.
Here is a relaxed structure of Hf3Nb from the Alexandria database. Energies are from GGA-PBE.

Cell lengths 4.9152, 4.9152, 4.9152 Å; angles 60.00, 60.00, 60.00 degrees
Positions (direct):
1 Hf 0.7500 0.7500 0.7500
2 Hf 0.2500 0.2500 0.2500
3 Nb 0.5000 0.5000 0.5000
4 Hf 0.0000 0.0000 0.0000

- SG: Fm-3m
- VASP energy: -39.37 eV/cell
- Total magnetic moment: 0.00 μB/f.u.
- Energy of formation: 0.14 eV/atom

---

- Which formula does entry 1 have?
  Hf3Nb

---

- Look up the total magnetic moment of the fourth one.
  0.00 μB/f.u.

---

- Number 1 is which compound?
  Hf3Nb